1.
Compound: AgAs2O
Source: OQMD
Functional: PBE
Structure: optimized geometry

abc: 3.7663 3.7663 9.3874
angles: 90.00 90.00 90.00
Space group P4/nmm (No. 129, origin choice 2)
Asymmetric unit:
Ag (0.2500, 0.7500, 0.0000) (multiplicity 2)
As (0.2500, 0.2500, 0.2127) (multiplicity 2)
As (0.2500, 0.2500, 0.6133) (multiplicity 2)
O (0.2500, 0.7500, 0.5000) (multiplicity 2)

Values from the calculation:
The calculation puts the polymorph energy (0 for the lowest one) at 0.0 meV/atom.


2.
Compound: Ag2As2O7
Source: OQMD
Functional: PBE
Structure: optimized geometry

abc: 9.8159 9.8159 9.8159
angles: 90.00 90.00 90.00
Space group Fd-3m (No. 227, origin choice 2)
Asymmetric unit:
Ag (0.0000, 0.0000, 0.0000) (multiplicity 16)
As (0.0000, 0.0000, 0.5000) (multiplicity 16)
O (0.0711, 0.3750, 0.8750) (multiplicity 48)
O (0.1250, 0.1250, 0.1250) (multiplicity 8)

Values from the calculation:
The calculation puts the total DFT energy (no corrections) at -5.187 eV per atom.


3.
Compound: PaAgAsO
Source: OQMD
Functional: PBE
Structure: optimized geometry

abc: 8.4017 8.6394 4.6521
angles: 90.00 90.00 90.00
Space group Cmme (No. 67)
Asymmetric unit:
Pa (0.2500, 0.0000, 0.0000) (multiplicity 4)
Ag (0.0000, 0.2500, 0.4977) (multiplicity 4)
As (0.0000, 0.2500, 0.9978) (multiplicity 4)
O (0.2500, 0.0000, 0.5000) (multiplicity 4)

Values from the calculation:
The value obtained for the total moment is 0.250 μB/atom. The calculation puts the polymorph energy (0 for the lowest one) at 381.9 meV/atom.


4.
Compound: PaAgAsO
Source: OQMD
Functional: PBE
Structure: optimized geometry

abc: 4.4007 5.6418 7.0604
angles: 90.00 90.00 90.00
Space group Pmc2_1 (No. 26)
Asymmetric unit:
Pa (0.0000, 0.0906, 0.0000) (multiplicity 2)
Ag (0.5000, 0.4335, 0.4052) (multiplicity 2)
As (0.5000, 0.1907, 0.7100) (multiplicity 2)
O (0.0000, 0.2070, 0.2976) (multiplicity 2)

Values from the calculation:
The value obtained for the total moment is 0.250 μB/atom. The calculation puts the polymorph energy (0 for the lowest one) at 347.1 meV/atom.


5.
Compound: PaAgAsO
Source: OQMD
Functional: PBE
Structure: optimized geometry

abc: 4.0163 4.0163 8.9696
angles: 90.00 90.00 90.00
Space group P4/nmm (No. 129, origin choice 2)
Asymmetric unit:
Pa (0.2500, 0.2500, 0.1500) (multiplicity 2)
Ag (0.2500, 0.7500, 0.5000) (multiplicity 2)
As (0.2500, 0.2500, 0.7088) (multiplicity 2)
O (0.2500, 0.7500, 0.0000) (multiplicity 2)

Values from the calculation:
The value obtained for the total moment is 0.250 μB/atom. The calculation puts the polymorph energy (0 for the lowest one) at 0.0 meV/atom.


6.
Compound: AgAsPbO4
Source: OQMD
Functional: PBE
Structure: optimized geometry

abc: 4.7845 8.5253 5.7806
angles: 90.00 94.85 90.00
Space group P2/c (No. 13)
Asymmetric unit:
Ag (0.0000, 0.0000, 0.0000) (multiplicity 2)
As (0.0000, 0.3402, 0.2500) (multiplicity 2)
Pb (0.5000, 0.3324, 0.7500) (multiplicity 2)
O (0.1594, 0.2241, 0.0533) (multiplicity 4)
O (0.2532, 0.4504, 0.4002) (multiplicity 4)

Values from the calculation:
The calculation puts the total DFT energy (no corrections) at -5.467 eV per atom.


7.
Compound: AgAsPbO5
Source: OQMD
Functional: PBE
Structure: optimized geometry

abc: 13.1707 5.5364 7.2700
angles: 90.00 118.20 90.00
Space group C2/m (No. 12)
Asymmetric unit:
Ag (0.0667, 0.0000, 0.3747) (multiplicity 4)
As (0.1228, 0.5000, 0.1482) (multiplicity 4)
Pb (0.1775, 0.5000, 0.7432) (multiplicity 4)
O (0.0000, 0.2380, 0.5000) (multiplicity 4)
O (0.0326, 0.5000, 0.8723) (multiplicity 4)
O (0.1576, 0.2338, 0.2922) (multiplicity 8)
O (0.2482, 0.0000, 0.8735) (multiplicity 4)

Values from the calculation:
The calculation puts the total DFT energy (no corrections) at -5.310 eV per atom.


8.
Compound: AgAsPbO
Source: OQMD
Functional: PBE
Structure: optimized geometry

abc: 3.7547 7.0199 6.9207
angles: 90.00 90.00 90.00
Space group Pmc2_1 (No. 26)
Asymmetric unit:
Ag (0.0000, 0.1440, 0.0000) (multiplicity 2)
As (0.5000, 0.3017, 0.8110) (multiplicity 2)
Pb (0.5000, 0.3145, 0.4095) (multiplicity 2)
O (0.0000, 0.1604, 0.3340) (multiplicity 2)

Values from the calculation:
The calculation puts the polymorph energy (0 for the lowest one) at 155.8 meV/atom.


9.
Compound: AgAsPbO
Source: OQMD
Functional: PBE
Structure: optimized geometry

abc: 4.1188 4.1188 9.6551
angles: 90.00 90.00 90.00
Space group P4/nmm (No. 129, origin choice 2)
Asymmetric unit:
Ag (0.2500, 0.7500, 0.0000) (multiplicity 2)
As (0.2500, 0.2500, 0.1673) (multiplicity 2)
Pb (0.2500, 0.2500, 0.6219) (multiplicity 2)
O (0.2500, 0.7500, 0.5000) (multiplicity 2)

Values from the calculation:
The calculation puts the polymorph energy (0 for the lowest one) at 0.0 meV/atom.


10.
Compound: AgAsPbO
Source: OQMD
Functional: PBE
Structure: optimized geometry

abc: 4.1064 6.9588 5.7644
angles: 90.00 90.00 90.00
Space group Pmc2_1 (No. 26)
Asymmetric unit:
Ag (0.0000, 0.1766, 0.0000) (multiplicity 2)
As (0.0000, 0.4718, 0.2855) (multiplicity 2)
Pb (0.5000, 0.2291, 0.5222) (multiplicity 2)
O (0.5000, 0.0721, 0.8805) (multiplicity 2)

Values from the calculation:
The calculation puts the polymorph energy (0 for the lowest one) at 186.5 meV/atom.


11.
Compound: AgAsPbO4
Source: OQMD
Functional: PBE
Structure: optimized geometry

abc: 4.8741 5.7572 7.9151
angles: 95.10 106.90 94.70
Space group P-1 (No. 2)
Asymmetric unit:
Ag (0.1690, 0.2999, 0.4885) (multiplicity 2)
As (0.4191, 0.7259, 0.8156) (multiplicity 2)
Pb (0.0995, 0.7776, 0.1863) (multiplicity 2)
O (0.2144, 0.5941, 0.9323) (multiplicity 2)
O (0.2271, 0.9078, 0.6728) (multiplicity 2)
O (0.2743, 0.1081, 0.0516) (multiplicity 2)
O (0.4762, 0.4922, 0.3106) (multiplicity 2)

Values from the calculation:
The calculation puts the total DFT energy (no corrections) at -5.468 eV per atom.


12.
Compound: AgAsPbO
Source: OQMD
Functional: PBE
Structure: optimized geometry

abc: 4.5799 4.5799 8.4464
angles: 90.00 90.00 90.00
Space group P4/nmm (No. 129, origin choice 2)
Asymmetric unit:
Ag (0.2500, 0.2500, 0.0278) (multiplicity 2)
As (0.2500, 0.2500, 0.7095) (multiplicity 2)
Pb (0.2500, 0.7500, 0.5000) (multiplicity 2)
O (0.2500, 0.7500, 0.0000) (multiplicity 2)

Values from the calculation:
The calculation puts the polymorph energy (0 for the lowest one) at 517.2 meV/atom.


13.
Compound: AgAs2PdO7
Source: OQMD
Functional: PBE
Structure: optimized geometry

abc: 6.9363 8.7544 4.7966
angles: 90.00 99.24 90.00
Space group C2 (No. 5)
Asymmetric unit:
Ag (0.0000, 0.0000, 0.0000) (multiplicity 2)
As (0.2226, 0.2739, 0.4167) (multiplicity 4)
Pd (0.0000, 0.6081, 0.0000) (multiplicity 2)
O (0.0000, 0.1965, 0.5000) (multiplicity 2)
O (0.1215, 0.7882, 0.2664) (multiplicity 4)
O (0.1929, 0.4443, 0.2473) (multiplicity 4)
O (0.2283, 0.6156, 0.7829) (multiplicity 4)

Values from the calculation:
The calculation puts the total DFT energy (no corrections) at -5.477 eV per atom.


14.
Compound: Pr2ZnAgAs2O2
Source: OQMD
Functional: PBE
Structure: optimized geometry

abc: 4.0783 4.0783 9.1802
angles: 90.00 90.00 90.00
Space group P-4m2 (No. 115)
Asymmetric unit:
Pr (0.0000, 0.5000, 0.1302) (multiplicity 2)
Zn (0.5000, 0.5000, 0.5000) (multiplicity 1)
Ag (0.0000, 0.0000, 0.5000) (multiplicity 1)
As (0.0000, 0.5000, 0.6828) (multiplicity 2)
O (0.0000, 0.0000, 0.0000) (multiplicity 1)
O (0.5000, 0.5000, 0.0000) (multiplicity 1)

Values from the calculation:
The calculation puts the total DFT energy (no corrections) at -5.783 eV per atom. The value obtained for the total moment is 0.000 μB/atom.


15.
Compound: AgAsPtO
Source: OQMD
Functional: PBE
Structure: optimized geometry

abc: 4.0935 4.0935 6.7579
angles: 90.00 90.00 90.00
Space group P4/nmm (No. 129, origin choice 2)
Asymmetric unit:
Ag (0.2500, 0.2500, 0.1865) (multiplicity 2)
As (0.2500, 0.2500, 0.7524) (multiplicity 2)
Pt (0.2500, 0.7500, 0.5000) (multiplicity 2)
O (0.2500, 0.7500, 0.0000) (multiplicity 2)

Values from the calculation:
The value obtained for the total moment is 0.000 μB/atom. The calculation puts the polymorph energy (0 for the lowest one) at 142.0 meV/atom.


16.
Compound: AgAsPtO
Source: OQMD
Functional: PBE
Structure: optimized geometry

abc: 3.9177 6.2629 5.9482
angles: 90.00 90.00 90.00
Space group Pmc2_1 (No. 26)
Asymmetric unit:
Ag (0.0000, 0.1406, 0.0000) (multiplicity 2)
As (0.5000, 0.3435, 0.8318) (multiplicity 2)
Pt (0.5000, 0.2817, 0.4282) (multiplicity 2)
O (0.0000, 0.2133, 0.3908) (multiplicity 2)

Values from the calculation:
The value obtained for the total moment is 0.001 μB/atom. The calculation puts the polymorph energy (0 for the lowest one) at 185.0 meV/atom.


17.
Compound: AgAsPtO
Source: OQMD
Functional: PBE
Structure: optimized geometry

abc: 4.1028 4.1028 7.5591
angles: 90.00 90.00 90.00
Space group P4/nmm (No. 129, origin choice 2)
Asymmetric unit:
Ag (0.2500, 0.2500, 0.1092) (multiplicity 2)
As (0.2500, 0.2500, 0.6974) (multiplicity 2)
Pt (0.2500, 0.7500, 0.5000) (multiplicity 2)
O (0.2500, 0.7500, 0.0000) (multiplicity 2)

Values from the calculation:
The value obtained for the total moment is 0.008 μB/atom. The calculation puts the polymorph energy (0 for the lowest one) at 187.7 meV/atom.


18.
Compound: AgAsPtO
Source: OQMD
Functional: PBE
Structure: optimized geometry

abc: 3.7645 3.7645 8.5724
angles: 90.00 90.00 90.00
Space group P4/nmm (No. 129, origin choice 2)
Asymmetric unit:
Ag (0.2500, 0.7500, 0.0000) (multiplicity 2)
As (0.2500, 0.2500, 0.2488) (multiplicity 2)
Pt (0.2500, 0.2500, 0.6456) (multiplicity 2)
O (0.2500, 0.7500, 0.5000) (multiplicity 2)

Values from the calculation:
The value obtained for the total moment is 0.001 μB/atom. The calculation puts the polymorph energy (0 for the lowest one) at 506.1 meV/atom.


19.
Compound: AgAsPtO
Source: OQMD
Functional: PBE
Structure: optimized geometry

abc: 3.2491 6.8244 6.0694
angles: 90.00 90.00 90.00
Space group Pmc2_1 (No. 26)
Asymmetric unit:
Ag (0.0000, 0.0547, 0.0000) (multiplicity 2)
As (0.0000, 0.3075, 0.4944) (multiplicity 2)
Pt (0.5000, 0.4993, 0.7432) (multiplicity 2)
O (0.5000, 0.2964, 0.9936) (multiplicity 2)

Values from the calculation:
The value obtained for the total moment is 0.001 μB/atom. The calculation puts the polymorph energy (0 for the lowest one) at 0.0 meV/atom.


20.
Compound: RbAgAsO
Source: OQMD
Functional: PBE
Structure: optimized geometry

abc: 4.8430 4.8430 7.2391
angles: 90.00 90.00 90.00
Space group P4/nmm (No. 129, origin choice 2)
Asymmetric unit:
Rb (0.2500, 0.2500, 0.1415) (multiplicity 2)
Ag (0.2500, 0.7500, 0.5000) (multiplicity 2)
As (0.2500, 0.2500, 0.6654) (multiplicity 2)
O (0.2500, 0.7500, 0.0000) (multiplicity 2)

Values from the calculation:
The calculation puts the polymorph energy (0 for the lowest one) at 331.3 meV/atom.